Record 1
This record from OQMD via LeMat-Bulk describes crystalline Y4CdNiC2 at its relaxed geometry. The functional is PBE-GGA.

a = 3.6191 Å, b = 3.6191 Å, c = 14.7666 Å
α = 90.00°, β = 90.00°, γ = 120.00°
Last column: nearest neighbours and their distance in Å.
Positions (direct):
Cd1 0.3333 0.6667 0.0000  6 Y 3.43, 6 Cd 3.62
Y1 0.3333 0.6667 0.3676  3 C 2.53
C1 0.0000 0.0000 0.7287  6 Y 2.46-2.53
Y2 0.6667 0.3333 0.1840  3 C 2.46
C2 0.0000 0.0000 0.2713  6 Y 2.46-2.53
Y3 0.6667 0.3333 0.8160  3 C 2.46
Ni1 0.6667 0.3333 0.5000  6 Y 2.86
Y4 0.3333 0.6667 0.6324  3 C 2.53

Values from the calculation:
The total energy is -6.585 eV/atom. As for the crystal system: hexagonal.

Record 2
This record from OQMD via LeMat-Bulk describes crystalline PmHoPa at its relaxed geometry. The functional is PBE-GGA.

a = 5.2853 Å, b = 5.2853 Å, c = 5.2853 Å
α = 60.00°, β = 60.00°, γ = 60.00°
Last column: nearest neighbours and their distance in Å.
Positions (direct):
Ho1 0.0000 0.0000 0.0000  4 Pm 3.24, 4 Pa 3.24
Pa1 0.2500 0.2500 0.2500  4 Ho 3.24
Pm1 0.7500 0.7500 0.7500  4 Ho 3.24

Values from the calculation:
The total energy is -5.186 eV/atom. As for the crystal system: cubic. The energy relative to the lowest polymorph listed for this composition comes out at 0 meV per atom. As for the formation energy: 1.09 eV/atom.

Record 3
This record from OQMD via LeMat-Bulk describes crystalline Y2Fe2Si at its relaxed geometry. The functional is PBE-GGA.

a = 7.3716 Å, b = 7.3716 Å, c = 7.3716 Å
α = 151.13°, β = 151.13°, γ = 41.29°
Last column: nearest neighbours and their distance in Å.
Positions (direct):
Si1 0.0000 0.0000 0.0000  8 Y 2.96
Y1 0.6020 0.6020 0.0000  4 Fe 2.75, 1 Y 2.81, 4 Si 2.96
Fe1 0.7500 0.2500 0.5000  4 Fe 2.60, 4 Y 2.75
Y2 0.3980 0.3980 0.0000  4 Fe 2.75, 1 Y 2.81, 4 Si 2.96
Fe2 0.2500 0.7500 0.5000  4 Fe 2.60, 4 Y 2.75

Values from the calculation:
The total energy is -6.725 eV/atom. As for the crystal system: tetragonal.

Record 4
This record from OQMD via LeMat-Bulk describes crystalline LiPrPt at its relaxed geometry. The functional is PBE-GGA.

a = 4.7569 Å, b = 4.7569 Å, c = 4.7569 Å
α = 60.00°, β = 60.00°, γ = 60.00°
Last column: nearest neighbours and their distance in Å.
Positions (direct):
Pt1 0.0000 0.0000 0.0000  4 Pr 2.91, 4 Li 2.91
Pr1 0.7500 0.7500 0.7500  4 Pt 2.91
Li1 0.2500 0.2500 0.2500  4 Pt 2.91

Values from the calculation:
The total energy is -4.872 eV/atom. As for the crystal system: cubic. The energy relative to the lowest polymorph listed for this composition comes out at 0 meV per atom.

Record 5
This record from OQMD via LeMat-Bulk describes crystalline NiPtPbAu at its relaxed geometry. The functional is PBE-GGA.

a = 4.6163 Å, b = 4.6163 Å, c = 4.6163 Å
α = 60.00°, β = 60.00°, γ = 60.00°
Last column: nearest neighbours and their distance in Å.
Positions (direct):
Au1 0.5000 0.5000 0.5000  4 Pt 2.83, 4 Ni 2.83
Ni1 0.7500 0.7500 0.7500  4 Pb 2.83, 4 Au 2.83
Pt1 0.2500 0.2500 0.2500  4 Au 2.83, 4 Pb 2.83
Pb1 0.0000 0.0000 0.0000  4 Pt 2.83, 4 Ni 2.83

Values from the calculation:
The total energy is -4.554 eV/atom. As for the crystal system: cubic.

Record 6
This record from OQMD via LeMat-Bulk describes crystalline K2CuAuF6 at its relaxed geometry. The functional is PBE-GGA.

a = 6.1428 Å, b = 6.1428 Å, c = 6.1428 Å
α = 53.59°, β = 53.59°, γ = 53.59°
Last column: nearest neighbours and their distance in Å.
Positions (direct):
K1 0.2559 0.2559 0.2559  9 F 2.74-2.88
F1 0.2537 0.7583 0.7680  1 Cu 1.95
Cu1 0.0000 0.0000 0.0000  6 F 1.95
F2 0.7463 0.2417 0.2320  1 Cu 1.95
F3 0.2320 0.7463 0.2417  1 Cu 1.95
F4 0.7680 0.2537 0.7583  1 Cu 1.95
F5 0.7583 0.7680 0.2537  1 Cu 1.95
Au1 0.5000 0.5000 0.5000  6 F 2.19
F6 0.2417 0.2320 0.7463  1 Cu 1.95
K2 0.7441 0.7441 0.7441  9 F 2.74-2.88

Values from the calculation:
The total energy is -3.850 eV/atom. As for the crystal system: trigonal. The energy relative to the lowest polymorph listed for this composition comes out at 4 meV per atom.

Record 7
This record from OQMD via LeMat-Bulk describes crystalline NbAlFeNi at its relaxed geometry. The functional is PBE-GGA.

a = 4.2273 Å, b = 4.2273 Å, c = 4.2273 Å
α = 60.00°, β = 60.00°, γ = 60.00°
Last column: nearest neighbours and their distance in Å.
Positions (direct):
Ni1 0.2500 0.2500 0.2500  4 Al 2.59, 4 Nb 2.59
Fe1 0.7500 0.7500 0.7500  4 Nb 2.59, 4 Al 2.59
Nb1 0.5000 0.5000 0.5000  4 Fe 2.59, 4 Ni 2.59
Al1 0.0000 0.0000 0.0000  4 Ni 2.59, 4 Fe 2.59

Values from the calculation:
The total energy is -7.267 eV/atom. As for the crystal system: cubic. The energy relative to the lowest polymorph listed for this composition comes out at 0 meV per atom.

Record 8
This record from OQMD via LeMat-Bulk describes crystalline KHoHgSe3 at its relaxed geometry. The functional is PBE-GGA.

a = 8.4970 Å, b = 4.2428 Å, c = 10.6224 Å
α = 90.00°, β = 108.22°, γ = 90.00°
Last column: nearest neighbours and their distance in Å.
Positions (direct):
Se1 0.9549 0.7500 0.1406  3 Ho 2.78-2.87
Se2 0.5807 0.2500 0.8597  1 Hg 2.62, 2 Ho 2.93
Ho1 0.8201 0.7500 0.8659  5 Se 2.78-2.93
K1 0.2503 0.7500 0.7261  6 Se 3.33-3.69
Ho2 0.1799 0.2500 0.1341  5 Se 2.78-2.93
Hg1 0.4122 0.7500 0.3853  4 Se 2.62-2.93
Se3 0.2437 0.2500 0.4402  3 Hg 2.72-2.93
Hg2 0.5878 0.2500 0.6147  4 Se 2.62-2.93
Se4 0.7563 0.7500 0.5598  3 Hg 2.72-2.93
K2 0.7497 0.2500 0.2739  6 Se 3.33-3.69
Se5 0.0451 0.2500 0.8594  3 Ho 2.78-2.87
Se6 0.4193 0.7500 0.1403  1 Hg 2.62, 2 Ho 2.93

Values from the calculation:
The total energy is -3.925 eV/atom. As for the crystal system: monoclinic.